Below is a geometry-optimized SmDyH2 structure, with properties calculated at the PBE level.

```
SmDyH2
1.0
-1.884 -2.826 1.003
0.211 -1.177 3.333
-5.039 2.197 2.976
Sm H Dy
1 2 1
Direct
0.672 0.672 0.985 Sm
0.251 0.251 0.247 H
0.085 0.085 0.745 H
0.492 0.492 0.523 Dy
```

N(E_F), states/eV/atom: 0.395
Symmetry: R3m
Total DFT energy (no corrections), hartree per atom: -0.15820